# 1
DFT (PBE-GGA) results for an optimized crystal structure of TcHgW3.

Results
Formation enthalpy at 0 K   17.1 eV per formula unit
M_tot   0.00 μB per formula unit
Offset from the most stable computed form   1503.9 meV per atom

Cell lengths 4.8275, 4.8275, 4.8275 Å; angles 90.00, 90.00, 90.00 degrees
Fractional positions:
1 Hg 0.0000 0.0000 0.0000
2 W 0.0000 0.5000 0.0000
3 W 0.0000 0.0000 0.5000
4 W 0.5000 0.0000 0.0000
5 Tc 0.5000 0.5000 0.5000

***

# 2
DFT (PBE-GGA) results for an optimized crystal structure of Pm2SmN.

Results
Formation energy (no corrections)   -589 meV/atom
M_tot   0.00 μB per formula unit

Cell lengths 3.5618, 3.5618, 9.9553 Å; angles 79.69, 79.69, 60.00 degrees
Fractional positions:
1 N 0.5000 0.5000 0.5000
2 Sm 0.0000 0.0000 0.0000
3 Pm 0.1199 0.1199 0.6402
4 Pm 0.8801 0.8801 0.3598

***

# 3
DFT (PBE-GGA) results for an optimized crystal structure of Pm2Ga2AgPd5.

Results
Formation enthalpy at 0 K   -6.2 eV per formula unit
M_tot   0.00 μB per formula unit

Cell lengths 3.7946, 9.9435, 9.9435 Å; angles 90.00, 90.00, 90.00 degrees
Fractional positions:
1 Pm 0.0000 0.6786 0.1786
2 Pm 0.0000 0.3214 0.8214
3 Pm 0.0000 0.1786 0.3214
4 Pm 0.0000 0.8214 0.6786
5 Ga 0.0000 0.1198 0.6198
6 Ga 0.0000 0.8802 0.3802
7 Ga 0.0000 0.6198 0.8802
8 Ga 0.0000 0.3802 0.1198
9 Ag 0.0000 0.0000 0.0000
10 Ag 0.0000 0.5000 0.5000
11 Pd 0.5000 0.2093 0.0634
12 Pd 0.5000 0.7907 0.9366
13 Pd 0.5000 0.0634 0.7907
14 Pd 0.5000 0.7093 0.4366
15 Pd 0.5000 0.9366 0.2093
16 Pd 0.5000 0.2907 0.5634
17 Pd 0.5000 0.5634 0.7093
18 Pd 0.5000 0.4366 0.2907
19 Pd 0.5000 0.5000 0.0000
20 Pd 0.5000 0.0000 0.5000

***

# 4
DFT (PBE-GGA) results for an optimized crystal structure of MgI2O6.

Results
Formation energy (no corrections)   -900 meV/atom
M_tot   0.00 μB per formula unit

Cell lengths 5.6402, 5.6402, 5.0226 Å; angles 90.00, 90.00, 120.00 degrees
Fractional positions:
1 Mg 0.3333 0.6667 0.4279
2 I 0.0000 0.0000 0.4767
3 I 0.6667 0.3333 0.0180
4 O 0.2373 0.3179 0.6522
5 O 0.0806 0.7627 0.6522
6 O 0.6821 0.9194 0.6522
7 O 0.4176 0.0208 0.1913
8 O 0.6032 0.5824 0.1913
9 O 0.9792 0.3968 0.1913

***

# 5
DFT (PBE-GGA) results for an optimized crystal structure of Pm2ErSn4.

Results
Formation enthalpy at 0 K   -3.3 eV per formula unit
M_tot   0.00 μB per formula unit

Cell lengths 7.8942, 7.8497, 9.6035 Å; angles 132.72, 98.71, 89.77 degrees
Fractional positions:
1 Pm 0.6250 0.3750 0.7500
2 Pm 0.6250 0.8750 0.2500
3 Pm 0.6250 0.3750 0.2500
4 Pm 0.1250 0.3750 0.7500
5 Er 0.1529 0.6546 0.4998
6 Er 0.0970 0.0954 0.0002
7 Sn 0.9548 0.1700 0.3254
8 Sn 0.2953 0.5799 0.1746
9 Sn 0.8458 0.6233 0.6705
10 Sn 0.8443 0.9479 0.6040
11 Sn 0.3451 0.2435 0.3984
12 Sn 0.4042 0.1267 0.8295
13 Sn 0.4057 0.8021 0.8960
14 Sn 0.9050 0.5065 0.1016

***

# 6
DFT (PBE-GGA) results for an optimized crystal structure of Mn5Ru.

Results
Formation enthalpy at 0 K   0.4 eV per formula unit
M_tot   0.00 μB per formula unit
Offset from the most stable computed form   44.5 meV per atom

Cell lengths 4.4002, 4.4002, 4.0527 Å; angles 90.00, 90.00, 120.00 degrees
Fractional positions:
1 Mn 0.9899 0.0000 0.0000
2 Mn 0.6768 0.3434 0.0000
3 Mn 0.3333 0.6566 0.0000
4 Mn 0.0000 0.3333 0.5000
5 Mn 0.6667 0.6667 0.5000
6 Ru 0.3333 0.0000 0.5000

***

# 7
DFT (PBE-GGA) results for an optimized crystal structure of LiTmCuAu.

Results
Formation enthalpy at 0 K   -1.7 eV per formula unit
M_tot   0.00 μB per formula unit

Cell lengths 4.7139, 4.7139, 4.7139 Å; angles 60.00, 60.00, 60.00 degrees
Fractional positions:
1 Tm 0.0000 0.0000 0.0000
2 Au 0.7500 0.7500 0.7500
3 Cu 0.2500 0.2500 0.2500
4 Li 0.5000 0.5000 0.5000

***

# 8
DFT (PBE-GGA) results for an optimized crystal structure of GaHg2Pb.

Results
Formation enthalpy at 0 K   0.2 eV per formula unit
M_tot   0.00 μB per formula unit

Cell lengths 3.6733, 3.6733, 7.4863 Å; angles 90.00, 90.00, 90.00 degrees
Fractional positions:
1 Pb 0.5000 0.5000 0.5000
2 Hg 0.0000 0.0000 0.7795
3 Hg 0.0000 0.0000 0.2205
4 Ga 0.5000 0.5000 0.0000

***

Q: M_tot of number 5 (Pm2ErSn4)?
A: 0.00 μB per formula unit

***

Q: What is the formula in the first record?
A: TcHgW3

***

What did the fourth record say?
DFT (PBE-GGA) results for an optimized crystal structure of MgI2O6.

Results
Formation energy (no corrections)   -900 meV/atom
M_tot   0.00 μB per formula unit

Cell lengths 5.6402, 5.6402, 5.0226 Å; angles 90.00, 90.00, 120.00 degrees
Fractional positions:
1 Mg 0.3333 0.6667 0.4279
2 I 0.0000 0.0000 0.4767
3 I 0.6667 0.3333 0.0180
4 O 0.2373 0.3179 0.6522
5 O 0.0806 0.7627 0.6522
6 O 0.6821 0.9194 0.6522
7 O 0.4176 0.0208 0.1913
8 O 0.6032 0.5824 0.1913
9 O 0.9792 0.3968 0.1913